# BaFeTe2O8

A relaxed structure of BaFeTe2O8 (PBE+U, Alexandria).

The structure in CIF format:
```
data_BaFeTe2O8
_cell_length_a 5.231
_cell_length_b 5.235
_cell_length_c 6.458
_cell_angle_alpha 89.91
_cell_angle_beta 89.91
_cell_angle_gamma 84.95
_space_group_name_H-M_alt 'P -1'
_space_group_IT_number 2
_space_group_name_Hall '-P 1'
loop_
_atom_site_label
_atom_site_type_symbol
_atom_site_fract_x
_atom_site_fract_y
_atom_site_fract_z
Ba1 Ba 0.000 0.000 0.000
Fe1 Fe 0.000 0.000 0.500
Te1 Te 0.500 0.500 0.261
O1 O 0.236 0.767 0.718
O2 O 0.237 0.768 0.282
O3 O 0.318 0.322 0.500
O4 O 0.339 0.343 0.001
```

The value obtained for the size of the total moment is 3.97 μB/f.u. For the density of states at the Fermi level, the calculation gives 0.588 states/eV per cell. The final energy is -67.9 eV/cell.